VASP calculation (GGA-PBE) on a relaxed La3Mg3TlAu2 crystal.

abc: 7.9026 7.9026 4.3701
angles: 90.00 90.00 120.00
Closest atoms and distances in Å follow each position.
Positions (direct):
La1 0.0000 0.4228 0.0000  4 Au 3.22, 1 Tl 3.34, 2 Mg 3.38
La2 0.4228 0.0000 0.0000  4 Au 3.22, 1 Tl 3.34, 2 Mg 3.38
La3 0.5772 0.5772 0.0000  4 Au 3.22, 1 Tl 3.34, 2 Mg 3.38
Tl1 0.0000 0.0000 0.0000  6 Mg 2.95
Mg1 0.2515 0.2515 0.5000  2 Tl 2.95, 2 Au 3.01
Mg2 0.7485 0.0000 0.5000  2 Tl 2.95, 2 Au 3.01
Mg3 0.0000 0.7485 0.5000  2 Tl 2.95, 2 Au 3.01
Au1 0.6667 0.3333 0.5000  3 Mg 3.01, 6 La 3.22
Au2 0.3333 0.6667 0.5000  3 Mg 3.01, 6 La 3.22

The calculation puts the volume at 236.4 Å³/cell. The total energy is -33.14 eV for the cell shown.